BaLi2Ti2 | GGA-PBE | relaxed

The formation energy from the elements is 516 meV per atom. As for the theoretical density: 3.1 g/cm3. The value obtained for the excess energy over the best structure of this formula in the dataset is 0 meV/atom. Its crystal system is tetragonal. For the total magnetic moment, the calculation gives 0.00 Bohr magnetons per cell. Its uncorrected energy is -3.7925 eV per atom.

It has space group I4/mmm (No. 139), with a = 3.7082 Å, b = 3.7082 Å, c = 18.9418 Å, α = 90.00°, β = 90.00° and γ = 90.00°. Symmetry generates all atoms from Ba at (0.0000, 0.0000, 0.0000), Li at (0.0000, 0.0000, 0.3717) and Ti at (0.0000, 0.5000, 0.2500).